ScAlCd PBE-GGA optimized geometry; E_form = -0.245 eV per atom; volume = 60.79 Å³/f.u.; SG = P1
1.0
5.318 -0.034 -0.018
-1.750 3.986 -0.005
1.795 0.798 5.744
Al Sc Cd
2 2 2
Cartesian
0.439 2.580 0.725
4.800 4.504 5.442
4.040 4.169 2.501
3.876 1.719 4.694
3.134 1.390 1.700
1.267 2.947 3.658